--- i ---
Compound: ZnTcSe2
Source: Alexandria
Functional: meta-GGA SCAN
Structure: PBEsol geometry

Lattice parameters (Å, degrees): 3.2719 3.2719 7.6255 101.96 101.96 59.88
Fractional positions:
Zn  0.0000  0.0000  0.0000
Tc  0.5000  0.5000  0.5000
Se  0.2410  0.2410  0.7302
Se  0.7590  0.7590  0.2698

Calculated values
Crystal system ... monoclinic

=====

--- ii ---
Compound: ZnTcSe2
Source: Alexandria
Functional: meta-GGA SCAN
Structure: PBEsol geometry

Lattice parameters (Å, degrees): 3.2872 4.0115 5.1318 90.00 90.00 90.00
Fractional positions:
Zn  0.0000  0.0000  0.0000
Tc  0.5000  0.5000  0.5000
Se  0.0000  0.0000  0.5000
Se  0.5000  0.5000  0.0000

Calculated values
Crystal system ... orthorhombic

=====

Here are the energies relative to the best structure, in eV/atom: i 0.000; ii 0.076.

=====

--- i ---
Compound: K2LaBr
Source: Alexandria
Functional: meta-GGA SCAN
Structure: PBEsol geometry

Lattice parameters (Å, degrees): 7.8389 7.8389 7.8389 145.58 145.58 49.47
Fractional positions:
K  0.2500  0.7500  0.5000
K  0.7500  0.2500  0.5000
La  0.0000  0.0000  0.0000
Br  0.5000  0.5000  0.0000

Calculated values
Crystal system ... tetragonal

=====

--- ii ---
Compound: K2LaBr
Source: Alexandria
Functional: meta-GGA SCAN
Structure: PBEsol geometry

Lattice parameters (Å, degrees): 3.9816 3.9816 12.3523 98.89 98.89 59.96
Fractional positions:
K  0.0000  0.0000  0.0000
K  0.2111  0.2111  0.6661
La  0.7596  0.7596  0.2995
Br  0.4825  0.4825  0.4751

Calculated values
Crystal system ... monoclinic

=====

Here are the energies relative to the best structure, in eV/atom: i 0.468; ii 0.000.

=====

--- i ---
Compound: LiAgBr2
Source: Alexandria
Functional: meta-GGA SCAN
Structure: PBEsol geometry

Lattice parameters (Å, degrees): 3.9590 3.9590 5.6052 90.00 90.00 90.00
Fractional positions:
Li  0.0000  0.0000  0.0000
Ag  0.5000  0.5000  0.5003
Br  0.0000  0.0000  0.4990
Br  0.5000  0.5000  0.9997

Calculated values
Crystal system ... tetragonal

=====

--- ii ---
Compound: LiAgBr2
Source: Alexandria
Functional: meta-GGA SCAN
Structure: PBEsol geometry

Lattice parameters (Å, degrees): 7.2858 7.2858 7.2858 131.57 131.57 70.91
Fractional positions:
Li  0.0000  0.0000  0.0000
Li  0.7500  0.2500  0.5000
Ag  0.2500  0.7500  0.5000
Ag  0.5000  0.5000  0.0000
Br  0.1042  0.6250  0.9792
Br  0.3750  0.3542  0.4792
Br  0.6458  0.1250  0.0208
Br  0.8750  0.8958  0.5208

Calculated values
Crystal system ... tetragonal

=====

Here are the energies relative to the best structure, in eV/atom: i 0.009; ii 0.000.

=====

--- i ---
Compound: BaTaW2
Source: Alexandria
Functional: meta-GGA SCAN
Structure: PBEsol geometry

Lattice parameters (Å, degrees): 3.1336 4.9004 4.9548 90.00 90.00 90.00
Fractional positions:
Ba  0.0000  0.0000  0.0000
Ta  0.5000  0.5000  0.0000
W  0.0000  0.5000  0.5000
W  0.5000  0.0000  0.5000

Calculated values
Crystal system ... orthorhombic

=====

--- ii ---
Compound: BaTaW2
Source: Alexandria
Functional: meta-GGA SCAN
Structure: PBEsol geometry

Lattice parameters (Å, degrees): 7.5770 7.5770 7.5770 155.06 145.90 42.71
Fractional positions:
Ba  0.0000  0.0000  0.0000
Ta  0.2617  0.7617  0.5000
W  0.6515  0.6515  0.0000
W  0.7816  0.2816  0.5000

Calculated values
Crystal system ... orthorhombic

=====

Here are the energies relative to the best structure, in eV/atom: i 0.619; ii 0.000.

=====

--- i ---
Compound: CaAuSe2
Source: Alexandria
Functional: meta-GGA SCAN
Structure: PBEsol geometry

Lattice parameters (Å, degrees): 3.9046 4.6684 5.3651 90.00 105.38 90.00
Fractional positions:
Ca  0.0000  0.0000  0.0000
Au  0.5335  0.5000  0.5607
Se  0.3263  0.0000  0.5580
Se  0.5341  0.5000  0.0666

Calculated values
Crystal system ... monoclinic

=====

--- ii ---
Compound: CaAuSe2
Source: Alexandria
Functional: meta-GGA SCAN
Structure: PBEsol geometry

Lattice parameters (Å, degrees): 3.9832 3.9832 5.6123 90.00 90.00 90.00
Fractional positions:
Ca  0.0000  0.0000  0.0000
Au  0.5000  0.5000  0.5000
Se  0.0000  0.0000  0.5000
Se  0.5000  0.5000  0.0000

Calculated values
Crystal system ... tetragonal

=====

Here are the energies relative to the best structure, in eV/atom: i 0.000; ii 0.020.

=====

--- i ---
Compound: LiCoC2O6
Source: Alexandria
Functional: meta-GGA SCAN
Structure: PBEsol geometry

Lattice parameters (Å, degrees): 6.1099 6.1099 7.6177 94.23 94.23 122.57
Fractional positions:
Li  0.0958  0.9042  0.5000
Li  0.9042  0.0958  0.0000
Co  0.3605  0.6411  0.6930
Co  0.6411  0.3605  0.1930
C  0.0063  0.3178  0.4012
C  0.3178  0.0063  0.9012
C  0.3971  0.5488  0.9856
C  0.5488  0.3971  0.4856
O  0.1243  0.9515  0.9755
O  0.1709  0.4130  0.8915
O  0.1783  0.5618  0.4680
O  0.2872  0.8900  0.7360
O  0.4130  0.1709  0.3915
O  0.4480  0.5012  0.1396
O  0.5012  0.4480  0.6396
O  0.5618  0.1783  0.9680
O  0.5743  0.7465  0.9162
O  0.7465  0.5743  0.4162
O  0.8900  0.2872  0.2360
O  0.9515  0.1243  0.4755

Calculated values
Crystal system ... monoclinic

=====

--- ii ---
Compound: LiCoC2O6
Source: Alexandria
Functional: meta-GGA SCAN
Structure: PBEsol geometry

Lattice parameters (Å, degrees): 5.4849 5.4849 5.4849 48.28 48.28 48.28
Fractional positions:
Li  0.0000  0.0000  0.0000
Co  0.5000  0.5000  0.5000
C  0.2408  0.2408  0.2408
C  0.7592  0.7592  0.7592
O  0.0543  0.4795  0.7384
O  0.2616  0.9457  0.5205
O  0.4795  0.7384  0.0543
O  0.5205  0.2616  0.9457
O  0.7384  0.0543  0.4795
O  0.9457  0.5205  0.2616

Calculated values
Crystal system ... trigonal

=====

Here are the energies relative to the best structure, in eV/atom: i 0.161; ii 0.000.

=====

--- i ---
Compound: CuReSe2
Source: Alexandria
Functional: meta-GGA SCAN
Structure: PBEsol geometry

Lattice parameters (Å, degrees): 3.0668 3.0668 6.4735 90.00 90.00 90.00
Fractional positions:
Cu  0.0000  0.0000  0.0000
Re  0.0000  0.0000  0.5000
Se  0.5000  0.5000  0.2603
Se  0.5000  0.5000  0.7397

Calculated values
Crystal system ... tetragonal

=====

--- ii ---
Compound: CuReSe2
Source: Alexandria
Functional: meta-GGA SCAN
Structure: PBEsol geometry

Lattice parameters (Å, degrees): 4.3791 4.3791 4.3791 60.00 60.00 60.00
Fractional positions:
Cu  0.0000  0.0000  0.0000
Re  0.5000  0.5000  0.5000
Se  0.2500  0.2500  0.2500
Se  0.7500  0.7500  0.7500

Calculated values
Crystal system ... cubic

=====

Here are the energies relative to the best structure, in eV/atom: i 0.013; ii 0.000.

=====

--- i ---
Compound: CdHg2Ir
Source: Alexandria
Functional: meta-GGA SCAN
Structure: PBEsol geometry

Lattice parameters (Å, degrees): 5.2645 5.2645 5.2645 134.74 134.60 66.04
Fractional positions:
Cd  0.0000  0.0000  0.0000
Hg  0.2501  0.7501  0.5000
Hg  0.5001  0.5001  0.0000
Ir  0.7499  0.2499  0.5000

Calculated values
Crystal system ... orthorhombic

=====

--- ii ---
Compound: CdHg2Ir
Source: Alexandria
Functional: meta-GGA SCAN
Structure: PBEsol geometry

Lattice parameters (Å, degrees): 4.6860 4.6860 4.6860 60.00 60.00 60.00
Fractional positions:
Cd  0.0000  0.0000  0.0000
Hg  0.2500  0.2500  0.2500
Hg  0.7500  0.7500  0.7500
Ir  0.5000  0.5000  0.5000

Calculated values
Crystal system ... cubic

=====

Here are the energies relative to the best structure, in eV/atom: i 0.000; ii 0.068.